(1)
A plane-wave DFT calculation with PBE-GGA was carried out for crystalline PmHPd2Rh at its relaxed geometry. Values from VASP.

Calculated values
The calculation puts the density of states at the Fermi level at 4.575 states/eV per cell. The calculated volume is 14.675 Å³ per atom. The total energy comes out at -5.7419 eV per atom. For the spin magnetization, the calculation gives 0.000 μB per atom.

Quantum ESPRESSO input file:
```
&SYSTEM
  ibrav = 0, nat = 5, ntyp = 4
/
ATOMIC_SPECIES
Pm 145.00 Pm.upf
H 1.01 H.upf
Pd 106.42 Pd.upf
Rh 102.91 Rh.upf
CELL_PARAMETERS angstrom
-3.4728 2.1798 -0.9463
-1.4393 -0.6123 3.8717
1.8679 3.5189 1.2509
ATOMIC_POSITIONS angstrom
Pm -1.5221 2.5432 2.0881
H 0.0000 0.0000 0.0000
Pd 0.9339 1.7595 0.6255
Pd -0.7197 -0.3062 1.9358
Rh -1.7364 1.0899 -0.4732
```

***

(2)
A plane-wave DFT calculation with PBE-GGA was carried out for crystalline Nd6TmCd2 at its relaxed geometry. Values from VASP.

Calculated values
The calculation puts the density of states at the Fermi level at 21.475 states/eV per cell. The calculated volume is 31.688 Å³ per atom. The total energy comes out at -3.9454 eV per atom. The energy relative to the lowest polymorph listed for this composition comes out at 0.062 eV per atom. Its formation energy is -0.0667 eV/atom. For the spin magnetization, the calculation gives 0.000 μB per atom.

Quantum ESPRESSO input file:
```
&SYSTEM
  ibrav = 0, nat = 18, ntyp = 3
/
ATOMIC_SPECIES
Nd 144.24 Nd.upf
Tm 168.93 Tm.upf
Cd 112.41 Cd.upf
CELL_PARAMETERS angstrom
6.2287 -0.2797 -0.2708
1.2652 9.6341 1.1774
1.2652 1.4890 9.5909
ATOMIC_POSITIONS angstrom
Nd 4.4666 7.0978 4.7797
Nd 1.1781 5.9760 3.6938
Nd 4.2925 3.7456 5.7178
Nd 7.5810 4.8673 6.8038
Nd 4.6928 1.2489 3.2964
Nd 7.1806 7.3684 9.2207
Nd 4.0663 9.5945 7.2012
Nd 1.5784 3.4750 1.2768
Nd 2.9272 7.0244 1.0976
Nd 2.7176 9.6586 3.6478
Nd 5.8319 3.8189 9.4000
Nd 6.0415 1.1847 6.8497
Tm 2.8224 2.2472 8.6677
Tm 5.9367 8.5961 1.8298
Cd 4.2293 6.2857 8.0693
Cd 1.4154 2.7145 4.6120
Cd 4.5297 4.5577 2.4283
Cd 7.3437 8.1288 5.8855
```

***

(3)
A plane-wave DFT calculation with PBE-GGA was carried out for crystalline Dy2ScZn at its relaxed geometry. Values from VASP.

Calculated values
The calculation puts the density of states at the Fermi level at 5.962 states/eV per cell. The calculated volume is 26.659 Å³ per atom. The total energy comes out at -4.2344 eV per atom. The energy relative to the lowest polymorph listed for this composition comes out at 0.110 eV per atom. Its formation energy is -0.0320 eV/atom. For the spin magnetization, the calculation gives 0.136 μB per atom.

Quantum ESPRESSO input file:
```
&SYSTEM
  ibrav = 0, nat = 4, ntyp = 3
/
ATOMIC_SPECIES
Dy 162.50 Dy.upf
Sc 44.96 Sc.upf
Zn 65.41 Zn.upf
CELL_PARAMETERS angstrom
3.5150 0.0000 0.0000
1.7575 3.0441 0.0000
1.7575 1.0147 9.9660
ATOMIC_POSITIONS angstrom
Dy 1.7575 1.0147 7.6872
Dy 1.7575 1.0147 2.2741
Sc 3.5150 2.0294 4.9799
Zn 3.5150 2.0294 0.0078
```

***

(4)
A plane-wave DFT calculation with PBE-GGA was carried out for crystalline GdHfAlTc at its relaxed geometry. Values from VASP.

Calculated values
The calculation puts the density of states at the Fermi level at 1.904 states/eV per cell. The calculated volume is 19.992 Å³ per atom. The total energy comes out at -9.7363 eV per atom. Its formation energy is -0.2006 eV/atom. For the spin magnetization, the calculation gives 1.754 μB per atom.

Quantum ESPRESSO input file:
```
&SYSTEM
  ibrav = 0, nat = 4, ntyp = 4
/
ATOMIC_SPECIES
Gd 157.25 Gd.upf
Hf 178.49 Hf.upf
Tc 98.00 Tc.upf
Al 26.98 Al.upf
CELL_PARAMETERS angstrom
-1.3143 -2.6578 3.8203
3.3523 -2.3251 2.5965
1.0657 1.5012 4.4718
ATOMIC_POSITIONS angstrom
Gd 0.0000 0.0000 0.0000
Hf 1.5519 -1.7409 5.4443
Tc 0.7759 -0.8704 2.7221
Al 2.3278 -2.6113 8.1664
```